(1)
Material: TlIn4Hg9
Method: DFT, PBE-GGA
State: optimized geometry

Lattice parameters (Å, degrees): 9.0874 9.1950 10.0602 89.10 81.33 70.13
Fractional coordinates of all 28 atoms:
Tl (0.2101, 0.2940, 0.2743)
Tl (0.7899, 0.7060, 0.7257)
In (0.0427, 0.6635, 0.4371)
In (0.1815, 0.0463, 0.8544)
In (0.2455, 0.3758, 0.9082)
In (0.4594, 0.9096, 0.2740)
In (0.5406, 0.0904, 0.7260)
In (0.7545, 0.6242, 0.0918)
In (0.8185, 0.9537, 0.1456)
In (0.9573, 0.3365, 0.5629)
Hg (0.0000, 0.0000, 0.5000)
Hg (0.0894, 0.6287, 0.1276)
Hg (0.1121, 0.7281, 0.8165)
Hg (0.1553, 0.9464, 0.1665)
Hg (0.2672, 0.4270, 0.6026)
Hg (0.2972, 0.0666, 0.5489)
Hg (0.3900, 0.6079, 0.3111)
Hg (0.4229, 0.7259, 0.6305)
Hg (0.4840, 0.8418, 0.9481)
Hg (0.5000, 0.5000, 0.0000)
Hg (0.5160, 0.1582, 0.0519)
Hg (0.5771, 0.2741, 0.3695)
Hg (0.6100, 0.3921, 0.6889)
Hg (0.7028, 0.9334, 0.4511)
Hg (0.7328, 0.5730, 0.3974)
Hg (0.8447, 0.0536, 0.8335)
Hg (0.8879, 0.2719, 0.1835)
Hg (0.9106, 0.3713, 0.8724)

Properties
space group = P-1
formation energy = 0.016 eV/atom

=====

(2)
Material: Tl5In2Hg
Method: DFT, PBE-GGA
State: optimized geometry

Lattice parameters (Å, degrees): 7.7336 15.7145 3.8529 90.00 90.00 90.00
Fractional coordinates of all 16 atoms:
Tl (0.0000, 0.0000, 0.0000)
Tl (0.0073, 0.2403, 0.0000)
Tl (0.2364, 0.3785, 0.5000)
Tl (0.2636, 0.8785, 0.5000)
Tl (0.4927, 0.7403, 0.0000)
Tl (0.5000, 0.5000, 0.0000)
Tl (0.5073, 0.2597, 0.0000)
Tl (0.7364, 0.1215, 0.5000)
Tl (0.7636, 0.6215, 0.5000)
Tl (0.9927, 0.7597, 0.0000)
In (0.2279, 0.6189, 0.5000)
In (0.2721, 0.1189, 0.5000)
In (0.7279, 0.8811, 0.5000)
In (0.7721, 0.3811, 0.5000)
Hg (0.0000, 0.5000, 0.0000)
Hg (0.5000, 0.0000, 0.0000)

Properties
space group = Pbam
formation energy = 0.018 eV/atom

=====

(3)
Material: Tl8InHg3
Method: DFT, PBE-GGA
State: optimized geometry

Lattice parameters (Å, degrees): 7.2529 7.2529 7.2529 90.13 90.13 90.13
Fractional coordinates of all 12 atoms:
Tl (0.2281, 0.2281, 0.2281)
Tl (0.2283, 0.2283, 0.7704)
Tl (0.2283, 0.7704, 0.2283)
Tl (0.2296, 0.7717, 0.7717)
Tl (0.7704, 0.2283, 0.2283)
Tl (0.7717, 0.2296, 0.7717)
Tl (0.7717, 0.7717, 0.2296)
Tl (0.7719, 0.7719, 0.7719)
In (0.5000, 0.5000, 0.5000)
Hg (0.0000, 0.5000, 0.5000)
Hg (0.5000, 0.0000, 0.5000)
Hg (0.5000, 0.5000, 0.0000)

Properties
space group = R-3m
formation energy = 0.052 eV/atom

=====

(4)
Material: Tl2In6Hg
Method: DFT, PBE-GGA
State: optimized geometry

Lattice parameters (Å, degrees): 9.4050 9.4050 3.2916 93.40 93.40 60.44
Fractional coordinates of all 9 atoms:
Tl (0.1669, 0.1669, 0.0023)
Tl (0.8331, 0.8331, 0.9977)
In (0.1704, 0.5007, 0.6154)
In (0.1716, 0.8284, 0.5000)
In (0.4993, 0.8296, 0.3846)
In (0.5007, 0.1704, 0.6154)
In (0.8284, 0.1716, 0.5000)
In (0.8296, 0.4993, 0.3846)
Hg (0.5000, 0.5000, 0.0000)

Properties
space group = C2/m
formation energy = 0.028 eV/atom

=====

(5)
Material: Tl2InHg2
Method: DFT, PBE-GGA
State: optimized geometry

Lattice parameters (Å, degrees): 10.1285 10.1285 3.6167 90.00 90.00 156.96
Fractional coordinates of all 5 atoms:
Tl (0.1827, 0.8173, 0.0000)
Tl (0.8173, 0.1827, 0.0000)
In (0.0000, 0.0000, 0.0000)
Hg (0.4105, 0.5895, 0.5000)
Hg (0.5895, 0.4105, 0.5000)

Properties
space group = Cmmm
formation energy = 0.016 eV/atom

=====

(6)
Material: Tl3InHg6
Method: DFT, PBE-GGA
State: optimized geometry

Lattice parameters (Å, degrees): 4.0320 4.0320 21.2848 90.00 90.00 120.00
Fractional coordinates of all 10 atoms:
Tl (0.0000, 0.0000, 0.0000)
Tl (0.0000, 0.0000, 0.3006)
Tl (0.0000, 0.0000, 0.6994)
In (0.0000, 0.0000, 0.5000)
Hg (0.3333, 0.6667, 0.1035)
Hg (0.3333, 0.6667, 0.4055)
Hg (0.3333, 0.6667, 0.8020)
Hg (0.6667, 0.3333, 0.1980)
Hg (0.6667, 0.3333, 0.5945)
Hg (0.6667, 0.3333, 0.8965)

Properties
space group = P-3m1
formation energy = 0.002 eV/atom

=====

| no. | N(E_F) (states/eV/cell) | E_tot (eV/atom) |
| --- | --- | --- |
| 1 | 7.06 | -1.13 |
| 2 | 7.21 | -2.18 |
| 3 | 8.26 | -1.83 |
| 4 | 3.24 | -2.36 |
| 5 | 2.54 | -1.60 |
| 6 | 2.98 | -1.16 |